The following is a DFT calculation (PBEsol) of a geometry-optimized La3Rh structure.

```
data_La3Rh
_cell_length_a 3.9192
_cell_length_b 3.9192
_cell_length_c 28.4336
_cell_angle_alpha 90.00
_cell_angle_beta 90.00
_cell_angle_gamma 120.00
_symmetry_space_group_name_H-M 'R -3 m'
_symmetry_Int_Tables_number 166
_symmetry_space_group_name_Hall '-R 3 2"'
loop_
_atom_site_label
_atom_site_fract_x
_atom_site_fract_y
_atom_site_fract_z
_atom_site_occupancy
La1 0.0000 0.0000 0.0000 1
La2 0.0000 0.0000 0.2252 1
Rh1 0.0000 0.0000 0.5000 1
```

## Properties
- spin magnetization (μB/f.u.) = 0.0
- uncorrected energy (eV/cell) = -76.0
- crystal system = trigonal
- N(E_F) (states/eV/f.u.) = 4.04
- energy of formation from the pure elements (eV per atom) = -0.29

=====

The following is a DFT calculation (PBEsol) of a geometry-optimized YMnTlPd2 structure.

```
data_YMnTlPd2
_cell_length_a 4.9434
_cell_length_b 4.9434
_cell_length_c 5.0616
_cell_angle_alpha 90.00
_cell_angle_beta 90.00
_cell_angle_gamma 90.00
_symmetry_space_group_name_H-M 'P 4/m m m'
_symmetry_Int_Tables_number 123
_symmetry_space_group_name_Hall '-P 4 2'
loop_
_atom_site_label
_atom_site_fract_x
_atom_site_fract_y
_atom_site_fract_z
_atom_site_occupancy
Y1 0.0000 0.0000 0.0000 1
Mn1 0.0000 0.0000 0.5000 1
Tl1 0.5000 0.5000 0.5000 1
Pd1 0.0000 0.5000 0.0000 1
```

## Properties
- spin magnetization (μB/f.u.) = 3.6
- uncorrected energy (eV/cell) = -26.4
- crystal system = tetragonal
- N(E_F) (states/eV/f.u.) = 3.17
- energy of formation from the pure elements (eV per atom) = 0.94

=====

The following is a DFT calculation (PBEsol) of a geometry-optimized NaTaIr3 structure.

```
data_NaTaIr3
_cell_length_a 4.7715
_cell_length_b 4.7715
_cell_length_c 4.7715
_cell_angle_alpha 90.00
_cell_angle_beta 90.00
_cell_angle_gamma 90.00
_symmetry_space_group_name_H-M 'P m -3 m'
_symmetry_Int_Tables_number 221
_symmetry_space_group_name_Hall '-P 4 2 3'
loop_
_atom_site_label
_atom_site_fract_x
_atom_site_fract_y
_atom_site_fract_z
_atom_site_occupancy
Na1 0.0000 0.0000 0.0000 1
Ta1 0.5000 0.5000 0.5000 1
Ir1 0.0000 0.5000 0.5000 1
```

## Properties
- spin magnetization (μB/f.u.) = 0.0
- uncorrected energy (eV/cell) = -36.8
- crystal system = cubic
- N(E_F) (states/eV/f.u.) = 5.56
- energy of formation from the pure elements (eV per atom) = 1.32

=====

The following is a DFT calculation (PBEsol) of a geometry-optimized KFePt2 structure.

```
data_KFePt2
_cell_length_a 7.5492
_cell_length_b 2.7107
_cell_length_c 7.6430
_cell_angle_alpha 90.00
_cell_angle_beta 94.24
_cell_angle_gamma 90.00
_symmetry_space_group_name_H-M 'C 1 2/m 1'
_symmetry_Int_Tables_number 12
loop_
_symmetry_equiv_pos_as_xyz
'x,y,z'
'-x,-y,-z'
'-x,y,-z'
'x,-y,z'
'x+1/2,y+1/2,z'
'-x+1/2,-y+1/2,-z'
'-x+1/2,y+1/2,-z'
'x+1/2,-y+1/2,z'
loop_
_atom_site_label
_atom_site_fract_x
_atom_site_fract_y
_atom_site_fract_z
_atom_site_occupancy
K1 0.0000 0.0000 0.0000 1
Fe1 0.0000 0.5000 0.5000 1
Pt1 0.2388 0.0000 0.6740 1
```

## Properties
- spin magnetization (μB/f.u.) = 3.7
- uncorrected energy (eV/cell) = -46.0
- offset from the most stable computed form (eV per atom) = 0.0000
- crystal system = monoclinic
- N(E_F) (states/eV/f.u.) = 2.55
- energy of formation from the pure elements (eV per atom) = 0.26

=====

The following is a DFT calculation (PBEsol) of a geometry-optimized LiAgPb structure.

```
data_LiAgPb
_cell_length_a 4.6353
_cell_length_b 4.6353
_cell_length_c 3.2347
_cell_angle_alpha 90.00
_cell_angle_beta 90.00
_cell_angle_gamma 120.00
_symmetry_space_group_name_H-M 'P 3 m 1'
_symmetry_Int_Tables_number 156
loop_
_symmetry_equiv_pos_as_xyz
'x,y,z'
'-y,x-y,z'
'-x+y,-x,z'
'-y,-x,z'
'-x+y,y,z'
'x,x-y,z'
loop_
_atom_site_label
_atom_site_fract_x
_atom_site_fract_y
_atom_site_fract_z
_atom_site_occupancy
Li1 0.0000 0.0000 0.0000 1
Ag1 0.6667 0.3333 0.7846 1
Pb1 0.3333 0.6667 0.4059 1
```

## Properties
- spin magnetization (μB/f.u.) = 0.0
- uncorrected energy (eV/cell) = -9.6
- offset from the most stable computed form (eV per atom) = 0.0281
- crystal system = trigonal
- N(E_F) (states/eV/f.u.) = 0.67
- energy of formation from the pure elements (eV per atom) = -0.12

=====

The following is a DFT calculation (PBEsol) of a geometry-optimized LiMgCl2 structure.

```
data_LiMgCl2
_cell_length_a 3.3830
_cell_length_b 3.3830
_cell_length_c 7.4096
_cell_angle_alpha 90.00
_cell_angle_beta 90.00
_cell_angle_gamma 90.00
_symmetry_space_group_name_H-M 'P 4 m m'
_symmetry_Int_Tables_number 99
loop_
_symmetry_equiv_pos_as_xyz
'x,y,z'
'-y,x,z'
'-x,-y,z'
'y,-x,z'
'-x,y,z'
'y,x,z'
'x,-y,z'
'-y,-x,z'
loop_
_atom_site_label
_atom_site_fract_x
_atom_site_fract_y
_atom_site_fract_z
_atom_site_occupancy
Li1 0.0000 0.0000 0.0000 1
Mg1 0.5000 0.5000 0.4648 1
Cl1 0.0000 0.0000 0.6628 1
Cl2 0.5000 0.5000 0.0585 1
```

## Properties
- spin magnetization (μB/f.u.) = 0.0
- uncorrected energy (eV/cell) = -12.6
- offset from the most stable computed form (eV per atom) = 0.0000
- crystal system = tetragonal
- N(E_F) (states/eV/f.u.) = 1.07
- E_form (uncorrected) (kJ/mol of atoms) = -118

=====

The following is a DFT calculation (PBEsol) of a geometry-optimized Ca2CuBr structure.

```
data_Ca2CuBr
_cell_length_a 4.1870
_cell_length_b 4.1870
_cell_length_c 5.9312
_cell_angle_alpha 90.00
_cell_angle_beta 90.00
_cell_angle_gamma 90.00
_symmetry_space_group_name_H-M 'P 4/m m m'
_symmetry_Int_Tables_number 123
_symmetry_space_group_name_Hall '-P 4 2'
loop_
_atom_site_label
_atom_site_fract_x
_atom_site_fract_y
_atom_site_fract_z
_atom_site_occupancy
Ca1 0.0000 0.0000 0.0000 1
Ca2 0.5000 0.5000 0.5000 1
Cu1 0.0000 0.0000 0.5000 1
Br1 0.5000 0.5000 0.0000 1
```

## Properties
- spin magnetization (μB/f.u.) = 0.2
- uncorrected energy (eV/cell) = -12.9
- crystal system = tetragonal
- N(E_F) (states/eV/f.u.) = 4.13
- E_form (uncorrected) (kJ/mol of atoms) = -58

=====

The following is a DFT calculation (PBEsol) of a geometry-optimized P5Rh structure.

```
data_P5Rh
_cell_length_a 6.9593
_cell_length_b 6.9593
_cell_length_c 6.9593
_cell_angle_alpha 90.00
_cell_angle_beta 90.00
_cell_angle_gamma 90.00
_symmetry_space_group_name_H-M 'F -4 3 m'
_symmetry_Int_Tables_number 216
_symmetry_space_group_name_Hall 'F -4 2 3'
loop_
_atom_site_label
_atom_site_fract_x
_atom_site_fract_y
_atom_site_fract_z
_atom_site_occupancy
P1 0.0000 0.0000 0.0000 1
P2 0.1267 0.1267 0.6267 1
Rh1 0.2500 0.2500 0.2500 1
```

## Properties
- spin magnetization (μB/f.u.) = 0.0
- uncorrected energy (eV/cell) = -130.3
- offset from the most stable computed form (eV per atom) = 0.3757
- crystal system = cubic
- N(E_F) (states/eV/f.u.) = 3.80
- energy of formation from the pure elements (eV per atom) = 0.75